1.
The following is a PBE calculation of a relaxed structure of TbPmAlIn, from the Alexandria database.

Structure (CIF):
```
data_TbPmAlIn
_chemical_formula_sum 'Tb1 Pm1 Al1 In1'
_space_group_name_H-M_alt 'P 1'
_space_group_IT_number 1
_cell_length_a 3.716
_cell_length_b 3.716
_cell_length_c 7.567
_cell_angle_alpha 90.00
_cell_angle_beta 90.00
_cell_angle_gamma 90.00
loop_
_space_group_symop_operation_xyz
'x,y,z'
loop_
_atom_site_label
_atom_site_type_symbol
_atom_site_fract_x
_atom_site_fract_y
_atom_site_fract_z
Tb1 Tb 0.000 0.000 0.000
Pm1 Pm 0.000 0.000 0.521
Al1 Al 0.500 0.500 0.769
In1 In 0.500 0.500 0.252
```

* ΔE to the lowest computed polymorph: 0.0 kJ/mol of formula units
* ΔH_f (0 K): -0.429 eV per atom
* space-group type: P4mm, No. 99

=====

2.
The following is a PBE calculation of a relaxed structure of PmTmAlIn, from the Alexandria database.

Structure (CIF):
```
data_PmTmAlIn
_chemical_formula_sum 'Pm1 Tm1 Al1 In1'
_space_group_name_H-M_alt 'P 1'
_space_group_IT_number 1
_cell_length_a 5.251
_cell_length_b 5.251
_cell_length_c 5.251
_cell_angle_alpha 60.00
_cell_angle_beta 60.00
_cell_angle_gamma 60.00
loop_
_space_group_symop_operation_xyz
'x,y,z'
loop_
_atom_site_label
_atom_site_type_symbol
_atom_site_fract_x
_atom_site_fract_y
_atom_site_fract_z
Pm1 Pm 0.000 0.000 0.000
Tm1 Tm 0.500 0.500 0.500
Al1 Al 0.250 0.250 0.250
In1 In 0.750 0.750 0.750
```

* ΔE to the lowest computed polymorph: 6.9 kJ/mol of formula units
* ΔH_f (0 K): -0.398 eV per atom
* space-group type: F-43m, No. 216